Below is a relaxed Ca12Pr5Er3 crystal, with properties calculated at the PBE-GGA level.

Unit cell a=17.202 b=17.202 c=17.202 alpha=109.47 beta=109.47 gamma=109.47
Fractional coordinates of all 80 atoms:
Ca  0.068  0.641  0.412
Ca  0.068  0.927  0.656
Ca  0.073  0.229  0.141
Ca  0.073  0.344  0.932
Ca  0.088  0.729  0.656
Ca  0.088  0.859  0.432
Ca  0.141  0.073  0.229
Ca  0.141  0.568  0.912
Ca  0.156  0.229  0.588
Ca  0.156  0.427  0.568
Ca  0.229  0.141  0.073
Ca  0.229  0.588  0.156
Ca  0.271  0.344  0.912
Ca  0.271  0.427  0.359
Ca  0.344  0.912  0.271
Ca  0.344  0.932  0.073
Ca  0.359  0.271  0.427
Ca  0.359  0.588  0.932
Ca  0.412  0.068  0.641
Ca  0.412  0.844  0.771
Ca  0.427  0.359  0.271
Ca  0.427  0.568  0.156
Ca  0.432  0.088  0.859
Ca  0.432  0.844  0.573
Ca  0.568  0.156  0.427
Ca  0.568  0.912  0.141
Ca  0.573  0.432  0.844
Ca  0.573  0.641  0.729
Ca  0.588  0.156  0.229
Ca  0.588  0.932  0.359
Ca  0.641  0.412  0.068
Ca  0.641  0.729  0.573
Ca  0.656  0.068  0.927
Ca  0.656  0.088  0.729
Ca  0.729  0.573  0.641
Ca  0.729  0.656  0.088
Ca  0.771  0.412  0.844
Ca  0.771  0.859  0.927
Ca  0.844  0.573  0.432
Ca  0.844  0.771  0.412
Ca  0.859  0.432  0.088
Ca  0.859  0.927  0.771
Ca  0.912  0.141  0.568
Ca  0.912  0.271  0.344
Ca  0.927  0.656  0.068
Ca  0.927  0.771  0.859
Ca  0.932  0.073  0.344
Ca  0.932  0.359  0.588
Pr  0.000  0.000  0.000
Pr  0.000  0.000  0.500
Pr  0.000  0.500  0.000
Pr  0.000  0.500  0.500
Pr  0.125  0.750  0.875
Pr  0.125  0.875  0.250
Pr  0.250  0.125  0.875
Pr  0.250  0.625  0.375
Pr  0.375  0.250  0.625
Pr  0.375  0.625  0.750
Pr  0.500  0.000  0.000
Pr  0.500  0.000  0.500
Pr  0.500  0.500  0.000
Pr  0.500  0.500  0.500
Pr  0.625  0.375  0.250
Pr  0.625  0.750  0.375
Pr  0.750  0.375  0.625
Pr  0.750  0.875  0.125
Pr  0.875  0.125  0.750
Pr  0.875  0.250  0.125
Er  0.125  0.250  0.375
Er  0.125  0.375  0.750
Er  0.250  0.375  0.125
Er  0.250  0.875  0.625
Er  0.375  0.125  0.250
Er  0.375  0.750  0.125
Er  0.625  0.250  0.875
Er  0.625  0.875  0.750
Er  0.750  0.125  0.375
Er  0.750  0.625  0.875
Er  0.875  0.625  0.250
Er  0.875  0.750  0.625

Properties
Formation energy from the elements in eV/atom: 0.977
Electronic total energy in eV/f.u.: -42.06
DOS(E_F) in states/eV per cell: 132.4
SG: Ia-3d, No. 230